Density functional theory data (PBE-GGA) for Sm5Dy3Y2 after structural relaxation.

Properties
energy above the lowest structure with this stoichiometry = 0.0 kJ per mole of atoms

Geometry as POSCAR:
```
Sm5Dy3Y2
1.0
-7.972 5.339 -2.921
-8.567 -1.979 4.809
9.898 3.508 4.093
Sm Dy Y
10 6 4
direct
0.621 0.874 0.246
0.982 0.232 0.463
0.379 0.126 0.754
0.269 0.519 0.037
0.018 0.768 0.537
0.522 0.272 0.544
0.125 0.372 0.246
0.875 0.628 0.754
0.478 0.728 0.456
0.731 0.481 0.963
0.278 0.530 0.751
0.772 0.022 0.045
0.028 0.779 0.249
0.228 0.978 0.955
0.722 0.470 0.249
0.972 0.221 0.751
0.527 0.275 0.247
0.220 0.972 0.247
0.780 0.028 0.753
0.473 0.725 0.753
```



Density functional theory data (PBE-GGA) for Sm2Dy7Y3 after structural relaxation.

Properties
energy above the lowest structure with this stoichiometry = 0.0 kJ per mole of atoms

Geometry as POSCAR:
```
Sm2Dy7Y3
1.0
-3.445 0.747 0.009
-1.139 -5.293 3.303
1.147 5.077 17.146
Dy Y Sm
7 3 2
direct
0.500 0.059 0.167
0.000 0.000 0.000
0.500 0.243 0.501
0.000 0.562 0.165
0.500 0.757 0.499
0.500 0.941 0.833
0.000 0.438 0.835
0.000 0.110 0.342
0.000 0.890 0.658
0.500 0.500 0.000
0.500 0.614 0.327
0.500 0.386 0.673
```



Density functional theory data (PBE-GGA) for Sm8Dy2Y3 after structural relaxation.

Geometry as POSCAR:
```
Sm8Dy2Y3
1.0
5.646 0.000 0.789
0.000 7.704 0.000
-1.411 -3.852 10.071
Dy Sm Y
2 8 3
direct
0.499 0.241 0.481
0.501 0.759 0.519
0.000 0.133 0.266
0.001 0.671 0.342
0.500 0.600 0.786
0.500 0.186 0.786
0.500 0.814 0.214
0.000 0.867 0.734
0.999 0.329 0.658
0.500 0.400 0.214
0.000 0.285 0.000
0.000 0.715 0.000
0.500 0.000 0.000
```



Density functional theory data (PBE-GGA) for Sm5Dy2Y4 after structural relaxation.

Properties
energy above the lowest structure with this stoichiometry = 0.0 kJ per mole of atoms

Geometry as POSCAR:
```
Sm5Dy2Y4
1.0
-2.946 5.976 2.457
0.416 3.388 7.775
4.887 8.345 0.956
Y Sm Dy
4 5 2
direct
0.367 0.313 0.178
0.633 0.687 0.822
0.293 0.464 0.498
0.707 0.536 0.502
0.000 0.000 0.500
0.104 0.673 0.864
0.505 0.174 0.833
0.495 0.826 0.167
0.896 0.327 0.136
0.035 0.149 0.792
0.965 0.851 0.208
```



Density functional theory data (PBE-GGA) for Sm5Dy2Y after structural relaxation.

Properties
energy above the lowest structure with this stoichiometry = 11.1 kJ per mole of atoms

Geometry as POSCAR:
```
Sm5Dy2Y
1.0
-2.583 4.715 1.497
0.302 -4.622 4.679
14.172 6.131 5.142
Y Dy Sm
2 4 10
direct
0.264 0.528 0.250
0.736 0.472 0.750
0.775 0.551 0.369
0.775 0.551 0.131
0.225 0.449 0.869
0.225 0.449 0.631
0.459 0.918 0.750
0.924 0.849 0.592
0.381 0.762 0.051
0.619 0.238 0.551
0.541 0.082 0.250
0.076 0.151 0.092
0.619 0.238 0.949
0.381 0.762 0.449
0.924 0.849 0.908
0.076 0.151 0.408
```



Density functional theory data (PBE-GGA) for SmDy2Y7 after structural relaxation.

Properties
energy above the lowest structure with this stoichiometry = 56.1 kJ per mole of atoms

Geometry as POSCAR:
```
SmDy2Y7
1.0
-3.895 -4.044 0.627
6.070 -6.260 -2.663
-1.024 2.344 8.752
Dy Sm Y
2 1 7
direct
0.500 0.703 0.297
0.500 0.297 0.703
0.000 0.000 0.000
0.000 0.778 0.222
0.500 0.294 0.061
0.500 0.061 0.294
0.500 0.939 0.706
0.500 0.706 0.939
0.000 0.222 0.778
0.500 0.500 0.500
```



Density functional theory data (PBE-GGA) for Sm3DyY5 after structural relaxation.

Properties
energy above the lowest structure with this stoichiometry = 0.0 kJ per mole of atoms

Geometry as POSCAR:
```
Sm3DyY5
1.0
-2.100 6.221 -2.667
2.423 -3.038 -8.996
-9.041 -1.579 3.436
Sm Y Dy
6 10 2
direct
0.250 0.641 0.000
0.250 0.000 0.641
0.250 0.359 0.359
0.750 0.000 0.359
0.750 0.641 0.641
0.750 0.359 0.000
0.000 0.333 0.667
0.750 0.307 0.307
0.250 0.693 0.693
0.500 0.333 0.667
0.500 0.667 0.333
0.250 0.307 0.000
0.750 0.000 0.693
0.000 0.667 0.333
0.250 0.000 0.307
0.750 0.693 0.000
0.000 0.000 0.000
0.500 0.000 0.000
```



Density functional theory data (PBE-GGA) for Sm7DyY12 after structural relaxation.

Properties
energy above the lowest structure with this stoichiometry = 8.5 kJ per mole of atoms

Geometry as POSCAR:
```
Sm7DyY12
1.0
6.556 0.000 1.897
-3.680 9.314 4.533
-0.804 0.000 10.963
Sm Y Dy
7 12 1
direct
0.210 0.836 0.859
0.790 0.164 0.141
0.931 0.141 0.695
0.500 0.000 0.000
0.374 0.305 0.836
0.069 0.859 0.305
0.626 0.695 0.164
0.256 0.455 0.478
0.200 0.933 0.545
0.496 0.786 0.428
0.290 0.214 0.214
0.076 0.572 0.214
0.744 0.545 0.522
0.710 0.786 0.786
0.924 0.428 0.786
0.800 0.067 0.455
0.733 0.478 0.067
0.504 0.214 0.572
0.267 0.522 0.933
0.000 0.000 0.000
```



How do the records compare in energy of formation from the pure elements? In the order shown, they have 191; 75; 214; 146; 135; 697; 50; 326 meV per atom.
How do the records compare in size of the total moment? In the order shown, they have 0.00; 0.00; 0.00; 0.00; 0.00; 0.00; 0.00; 0.00 μB per cell.